The following is a DFT calculation (PBE-GGA) of crystalline Ba2CuOs at its relaxed geometry.

Calculated values
VASP energy ... -3.942 eV/atom
Offset from the most stable computed form ... 452 meV per atom
Formation energy ... 82 kJ per mole of atoms

a = 5.9836 Å, b = 5.9836 Å, c = 5.9836 Å
α = 134.25°, β = 134.25°, γ = 66.69°
Last column: nearest neighbours and their distance in Å.
Fractional coordinates of all 4 atoms:
Ba 0.2500 0.7500 0.5000  4 Os 3.29, 4 Cu 3.41, 4 Ba 3.41
Cu 0.5000 0.5000 0.0000  8 Ba 3.29-3.41, 4 Os 3.41
Os 0.7500 0.2500 0.5000  8 Ba 3.29-3.41, 4 Cu 3.41
Ba 0.0000 0.0000 0.0000  4 Cu 3.29, 4 Ba 3.41, 4 Os 3.41

The following is a DFT calculation (PBE-GGA) of crystalline Cr2CuSb at its relaxed geometry.

Calculated values
VASP energy ... -6.362 eV/atom
Uncorrected formation energy ... 504 meV per atom

a = 8.3545 Å, b = 8.3545 Å, c = 8.3545 Å
α = 20.51°, β = 20.51°, γ = 20.51°
Last column: nearest neighbours and their distance in Å.
Fractional coordinates of all 4 atoms:
Sb 0.2547 0.2547 0.2547  3 Cr 2.84, 3 Cu 2.95, 6 Sb 2.97
Cr 0.0134 0.0134 0.0134  3 Cr 2.29
Cr 0.7419 0.7419 0.7419  3 Cr 2.29
Cu 0.4901 0.4901 0.4901  3 Cr 2.64, 3 Sb 2.95

The following is a DFT calculation (PBE-GGA) of crystalline CoBi2B at its relaxed geometry.

Calculated values
VASP energy ... -4.549 eV/atom
Formation energy ... 81 kJ per mole of atoms

a = 5.8756 Å, b = 5.8756 Å, c = 6.8513 Å
α = 64.61°, β = 64.61°, γ = 90.00°
Last column: nearest neighbours and their distance in Å.
Fractional coordinates of all 8 atoms:
B 0.2500 0.7500 0.5000  4 Bi 2.41
Bi 0.6018 0.1250 0.2500  2 B 2.41, 2 Co 2.57
Bi 0.1482 0.6250 0.2500  2 B 2.41, 2 Co 2.57
B 0.5000 0.5000 0.0000  4 Bi 2.41
Co 0.7500 0.2500 0.5000  4 Bi 2.57
Bi 0.8750 0.8518 0.7500  2 B 2.41, 2 Co 2.57
Co 0.0000 0.0000 0.0000  4 Bi 2.57
Bi 0.3750 0.3982 0.7500  2 B 2.41, 2 Co 2.57

The following is a DFT calculation (PBE-GGA) of crystalline LiCeZnSi at its relaxed geometry.

Calculated values
VASP energy ... -3.947 eV/atom
Uncorrected formation energy ... -311 meV per atom

a = 4.8063 Å, b = 4.8063 Å, c = 4.8063 Å
α = 60.00°, β = 60.00°, γ = 60.00°
Last column: nearest neighbours and their distance in Å.
Fractional coordinates of all 4 atoms:
Si 0.7500 0.7500 0.7500  4 Ce 2.94, 4 Li 2.94
Zn 0.2500 0.2500 0.2500  4 Ce 2.94, 4 Li 2.94
Ce 0.0000 0.0000 0.0000  4 Zn 2.94, 4 Si 2.94
Li 0.5000 0.5000 0.5000  4 Si 2.94, 4 Zn 2.94

The following is a DFT calculation (PBE-GGA) of crystalline HfCr2Cu2 at its relaxed geometry.

Calculated values
VASP energy ... -7.201 eV/atom
Formation energy ... 27 kJ per mole of atoms

a = 3.8009 Å, b = 3.8009 Å, c = 5.7272 Å
α = 70.62°, β = 70.62°, γ = 90.00°
Last column: nearest neighbours and their distance in Å.
Fractional coordinates of all 5 atoms:
Hf 0.0000 0.0000 0.0000  8 Cr 2.85, 8 Cu 3.16
Cr 0.4049 0.4049 0.1902  1 Cr 1.92
Cr 0.5951 0.5951 0.8098  1 Cr 1.92
Cu 0.2500 0.7500 0.5000  4 Cr 2.46, 4 Cu 2.69
Cu 0.7500 0.2500 0.5000  4 Cr 2.46, 4 Cu 2.69

The following is a DFT calculation (PBE-GGA) of crystalline Mg4CuTc at its relaxed geometry.

Calculated values
VASP energy ... -2.860 eV/atom
Formation energy ... 59 kJ per mole of atoms

a = 5.3959 Å, b = 5.3959 Å, c = 5.3959 Å
α = 60.00°, β = 60.00°, γ = 60.00°
Last column: nearest neighbours and their distance in Å.
Fractional coordinates of all 6 atoms:
Tc 0.7500 0.7500 0.7500  12 Mg 3.16, 4 Cu 3.30
Cu 0.0000 0.0000 0.0000  12 Mg 3.16, 4 Tc 3.30
Mg 0.3755 0.3755 0.3755  6 Mg 2.69-2.71
Mg 0.3755 0.8734 0.3755  6 Mg 2.69-2.71
Mg 0.8734 0.3755 0.3755  6 Mg 2.69-2.71
Mg 0.3755 0.3755 0.8734  6 Mg 2.69-2.71

The following is a DFT calculation (PBE-GGA) of crystalline Rb3Dy2ScTe6 at its relaxed geometry.

Calculated values
VASP energy ... -4.438 eV/atom
Uncorrected formation energy ... -1331 meV per atom

a = 7.7365 Å, b = 7.7365 Å, c = 8.9134 Å
α = 98.33°, β = 98.33°, γ = 120.00°
Last column: nearest neighbours and their distance in Å.
Fractional coordinates of all 12 atoms:
Te 0.7434 0.7434 0.1966  1 Sc 3.00, 2 Dy 3.11
Te 0.9350 0.6125 0.8046  1 Sc 3.00, 2 Dy 3.11
Dy 0.3338 0.6662 0.0000  6 Te 3.11
Te 0.0650 0.3875 0.1954  1 Sc 3.00, 2 Dy 3.11
Dy 0.6662 0.3338 0.0000  6 Te 3.11
Rb 0.5000 0.5000 0.5000  6 Te 3.63-3.72
Rb 0.1700 0.8300 0.5000  6 Te 3.63-3.69
Te 0.6125 0.9350 0.8046  1 Sc 3.00, 2 Dy 3.11
Rb 0.8300 0.1700 0.5000  6 Te 3.63-3.69
Sc 0.0000 0.0000 0.0000  6 Te 3.00
Te 0.2566 0.2566 0.8034  1 Sc 3.00, 2 Dy 3.11
Te 0.3875 0.0650 0.1954  1 Sc 3.00, 2 Dy 3.11

The following is a DFT calculation (PBE-GGA) of crystalline PmDy2Er2Th2 at its relaxed geometry.

Calculated values
VASP energy ... -5.281 eV/atom
Formation energy ... 13 kJ per mole of atoms

a = 5.9277 Å, b = 6.8924 Å, c = 12.8094 Å
α = 142.62°, β = 90.00°, γ = 115.47°
Last column: nearest neighbours and their distance in Å.
Fractional coordinates of all 7 atoms:
Pm 0.0000 0.0000 0.5000  4 Er 3.48-3.68, 2 Th 3.53, 4 Dy 3.56
Th 0.8343 0.6686 0.6230  2 Th 3.39, 3 Dy 3.44-3.60, 4 Er 3.51-3.58, 1 Pm 3.53
Dy 0.7356 0.4713 0.8103  1 Dy 3.26, 3 Er 3.40-3.42, 3 Th 3.44-3.60, 2 Pm 3.56
Dy 0.2644 0.5287 0.1897  1 Dy 3.26, 3 Er 3.40-3.42, 3 Th 3.44-3.60, 2 Pm 3.56
Th 0.1657 0.3314 0.3770  2 Th 3.39, 3 Dy 3.44-3.60, 4 Er 3.51-3.58, 1 Pm 3.53
Er 0.5716 0.1432 0.9248  3 Dy 3.40-3.42, 2 Pm 3.48-3.68, 4 Th 3.51-3.58, 1 Er 3.60
Er 0.4284 0.8568 0.0752  3 Dy 3.40-3.42, 2 Pm 3.48-3.68, 4 Th 3.51-3.58, 1 Er 3.60